# 1
Below is K3AlTe3 after structural relaxation, with properties calculated at the GGA-PBEsol level.

Computed properties:
Its energy relative to the elements, uncorrected is -0.90 eV per atom.

abc: 8.584 13.730 11.089
angles: 90.00 127.31 90.00
Fractional coordinates of all 28 atoms:
K 0.133 0.186 0.422
K 0.133 0.314 0.922
K 0.329 0.601 0.100
K 0.329 0.899 0.600
K 0.364 0.613 0.524
K 0.364 0.887 0.024
K 0.636 0.113 0.976
K 0.636 0.387 0.476
K 0.671 0.101 0.400
K 0.671 0.399 0.900
K 0.867 0.686 0.078
K 0.867 0.814 0.578
Al 0.061 0.565 0.662
Al 0.061 0.935 0.162
Al 0.939 0.065 0.838
Al 0.939 0.435 0.338
Te 0.135 0.055 0.731
Te 0.135 0.445 0.231
Te 0.171 0.109 0.135
Te 0.171 0.391 0.635
Te 0.346 0.691 0.810
Te 0.346 0.809 0.310
Te 0.654 0.191 0.690
Te 0.654 0.309 0.190
Te 0.829 0.609 0.365
Te 0.829 0.891 0.865
Te 0.865 0.555 0.769
Te 0.865 0.945 0.269



# 2
Below is Zr2MoW after structural relaxation, with properties calculated at the GGA-PBEsol level.

Computed properties:
For the relative energy among the computed polymorphs, the calculation gives 184 meV/atom. As for the energy relative to the elements: 0.2927 eV/atom.

abc: 9.288 9.288 9.288
angles: 19.10 19.10 19.10
Fractional coordinates of all 4 atoms:
Zr 0.000 0.000 0.000
Zr 0.238 0.238 0.238
Mo 0.487 0.487 0.487
W 0.752 0.752 0.752



What are the raw total energy values for these records? In order: -3.485; -10.646 eV per atom.
What are the DOS at the Fermi energy values for these records? In order: 0.0; 4.3 states/eV/cell.
What are the total magnetic moment values for these records? In order: 0.000; 0.000 μB/f.u..